(1)
Entry from Alexandria via LeMat-Bulk: a relaxed structure of CeNd2Cu2Si2 (GGA-PBE).

a b c (Å): 4.1129 4.1129 33.4901
angles (deg): 90.00 90.00 120.00
Space group R-3m (No. 166, hexagonal axes)
Symmetry-distinct sites (fractional):
Ce  0.0000  0.0000  0.0000
Nd  0.0000  0.0000  0.1199
Cu  0.0000  0.0000  0.3930
Si  0.0000  0.0000  0.2730

Computed properties:
- ΔE_f (raw): -0.449 eV per atom

---

(2)
Entry from Alexandria via LeMat-Bulk: a relaxed structure of Er2PaPdN4 (GGA-PBE).

a b c (Å): 5.6450 3.5980 5.8085
angles (deg): 90.00 103.33 90.00
Space group P2/m (No. 10)
Symmetry-distinct sites (fractional):
Er  0.0000  0.0000  0.0000
Er  0.5000  0.5000  0.0000
Pa  0.0000  0.5000  0.5000
Pd  0.5000  0.0000  0.5000
N  0.1951  0.5000  0.2233
N  0.2536  0.0000  0.7434

Computed properties:
- ΔE_f (raw): -1.186 eV per atom

---

(3)
Entry from Alexandria via LeMat-Bulk: a relaxed structure of Hg3BIr (GGA-PBE).

a b c (Å): 4.5136 4.5136 4.5136
angles (deg): 90.00 90.00 90.00
Space group Pm-3m (No. 221)
Symmetry-distinct sites (fractional):
Hg  0.0000  0.0000  0.5000
B  0.0000  0.0000  0.0000
Ir  0.5000  0.5000  0.5000

Computed properties:
- Calculated formation energy: 25.651 kcal/mol of atoms

---

(4)
Entry from Alexandria via LeMat-Bulk: a relaxed structure of Er2In2Cu15 (GGA-PBE).

a b c (Å): 8.7261 8.7261 12.7830
angles (deg): 90.00 90.00 120.00
Space group R-3m (No. 166, hexagonal axes)
Symmetry-distinct sites (fractional):
Er  0.0000  0.0000  0.1432
In  0.0000  0.0000  0.3904
Cu  0.0000  0.3099  0.5000
Cu  0.0000  0.5000  0.0000
Cu  0.0092  0.5046  0.6537

Computed properties:
- Calculated formation energy: -2.487 kcal/mol of atoms

---

(5)
Entry from Alexandria via LeMat-Bulk: a relaxed structure of InIN2O (GGA-PBE).

a b c (Å): 4.1131 4.1131 6.8101
angles (deg): 90.00 90.00 90.00
Space group P4/mmm (No. 123)
Symmetry-distinct sites (fractional):
In  0.0000  0.0000  0.0000
I  0.0000  0.0000  0.5000
N  0.0000  0.5000  0.0000
O  0.5000  0.5000  0.5000

Computed properties:
- ΔE_f (raw): 1.802 eV per atom

---

(6)
Entry from Alexandria via LeMat-Bulk: a relaxed structure of Li3PtAu3 (GGA-PBE).

a b c (Å): 7.6861 7.6861 7.6861
angles (deg): 90.00 90.00 90.00
Space group P2_13 (No. 198)
Symmetry-distinct sites (fractional):
Li  0.0434  0.2112  0.8827
Pt  0.0806  0.5806  0.9194
Au  0.1063  0.3937  0.6063
Au  0.1252  0.8748  0.3748
Au  0.2086  0.2086  0.2086

Computed properties:
- Calculated formation energy: -7.945 kcal/mol of atoms

---

(7)
Entry from Alexandria via LeMat-Bulk: a relaxed structure of NpTiGa2 (GGA-PBE).

a b c (Å): 2.6875 2.6875 9.0554
angles (deg): 90.00 90.00 90.00
Space group P4/mmm (No. 123)
Symmetry-distinct sites (fractional):
Np  0.0000  0.0000  0.0000
Ti  0.0000  0.0000  0.5000
Ga  0.5000  0.5000  0.2697

Computed properties:
- Calculated formation energy: -5.070 kcal/mol of atoms

---

(8)
Entry from Alexandria via LeMat-Bulk: a relaxed structure of AgSb2Br (GGA-PBE).

a b c (Å): 7.3244 7.3244 7.3244
angles (deg): 90.00 90.00 90.00
Space group Fm-3m (No. 225)
Symmetry-distinct sites (fractional):
Ag  0.0000  0.0000  0.0000
Sb  0.2500  0.2500  0.2500
Br  0.0000  0.0000  0.5000

Computed properties:
- ΔE_f (raw): 0.301 eV per atom

---

(9)
Entry from Alexandria via LeMat-Bulk: a relaxed structure of ScBiB2Os (GGA-PBE).

a b c (Å): 4.1846 4.1846 5.2607
angles (deg): 90.00 90.00 90.00
Space group P4/mmm (No. 123)
Symmetry-distinct sites (fractional):
Sc  0.0000  0.0000  0.0000
Bi  0.5000  0.5000  0.0000
B  0.0000  0.5000  0.5000
Os  0.0000  0.0000  0.5000

Computed properties:
- Calculated formation energy: 11.959 kcal/mol of atoms

---

(10)
Entry from Alexandria via LeMat-Bulk: a relaxed structure of LaTbDyTl (GGA-PBE).

a b c (Å): 7.8847 7.8847 7.8847
angles (deg): 90.00 90.00 90.00
Space group F-43m (No. 216)
Symmetry-distinct sites (fractional):
La  0.0000  0.0000  0.0000
Tb  0.2500  0.2500  0.7500
Dy  0.0000  0.0000  0.5000
Tl  0.2500  0.2500  0.2500

Computed properties:
- Calculated formation energy: -1.435 kcal/mol of atoms

---

(11)
Entry from Alexandria via LeMat-Bulk: a relaxed structure of ThPa2C3 (GGA-PBE).

a b c (Å): 6.2113 3.4324 9.4533
angles (deg): 90.00 90.00 90.00
Space group Pmma (No. 51)
Symmetry-distinct sites (fractional):
Th  0.2500  0.0000  0.0715
Pa  0.2500  0.0000  0.7152
Pa  0.2500  0.5000  0.3929
C  0.0000  0.0000  0.5000
C  0.0014  0.5000  0.8122

Computed properties:
- Calculated formation energy: -5.504 kcal/mol of atoms

---

(12)
Entry from Alexandria via LeMat-Bulk: a relaxed structure of YTiSN2 (GGA-PBE).

a b c (Å): 3.9431 3.9431 4.8267
angles (deg): 90.00 90.00 90.00
Space group P4/mmm (No. 123)
Symmetry-distinct sites (fractional):
Y  0.0000  0.0000  0.0000
Ti  0.5000  0.5000  0.5000
S  0.5000  0.5000  0.0000
N  0.0000  0.5000  0.5000

Computed properties:
- ΔE_f (raw): -0.878 eV per atom